Ga3Ru | PBE | relaxed

Structure (POSCAR):
```
Ga3Ru
1.0
3.194 0.000 0.000
0.000 5.772 0.000
-1.597 -2.886 3.616
Ga Ru
3 1
direct
0.310 0.636 0.621
0.690 0.016 0.379
0.500 0.425 0.000
0.000 0.089 0.000
```

offset from the most stable computed form: 186 meV/atom
raw total energy: -4.79 eV/atom
energy relative to the elements: -0.8 eV per formula unit
V: 66.7 Å³/f.u.
total magnetic moment: 0.00 μB/atom